(1)
Material: MgRePb2
Method: DFT, GGA-PBE
State: relaxed

```
data_MgRePb2
_cell_length_a 5.053
_cell_length_b 5.053
_cell_length_c 5.053
_cell_angle_alpha 60.00
_cell_angle_beta 60.00
_cell_angle_gamma 60.00
_space_group_name_H-M_alt 'P 1'
_space_group_IT_number 1
_space_group_name_Hall 'P 1'
loop_
_atom_site_label
_atom_site_fract_x
_atom_site_fract_y
_atom_site_fract_z
Mg1 0.500 0.500 0.500
Pb1 0.000 0.000 0.000
Pb2 0.250 0.250 0.250
Re1 0.750 0.750 0.750
```

Formation energy ... 0.921 eV/atom
Space group ... F-43m

(2)
Material: Pm8MgGe6
Method: DFT, GGA-PBE
State: relaxed

```
data_Pm8MgGe6
_cell_length_a 8.959
_cell_length_b 8.959
_cell_length_c 8.010
_cell_angle_alpha 55.99
_cell_angle_beta 55.99
_cell_angle_gamma 60.00
_space_group_name_H-M_alt 'P 1'
_space_group_IT_number 1
_space_group_name_Hall 'P 1'
loop_
_atom_site_label
_atom_site_fract_x
_atom_site_fract_y
_atom_site_fract_z
Pm1 0.606 0.208 0.292
Pm2 0.792 0.106 0.708
Pm3 0.106 0.394 0.708
Pm4 0.670 0.670 0.989
Pm5 0.330 0.330 0.011
Pm6 0.894 0.606 0.292
Pm7 0.208 0.894 0.292
Pm8 0.394 0.792 0.708
Mg1 0.000 0.000 0.000
Ge1 0.427 0.066 0.785
Ge2 0.934 0.279 0.215
Ge3 0.279 0.573 0.215
Ge4 0.721 0.427 0.785
Ge5 0.066 0.721 0.785
Ge6 0.573 0.934 0.215
```

Formation energy ... -0.619 eV/atom
Space group ... R-3

(3)
Material: Cs3Na2InBr6
Method: DFT, GGA-PBE
State: relaxed

```
data_Cs3Na2InBr6
_cell_length_a 4.812
_cell_length_b 9.716
_cell_length_c 10.767
_cell_angle_alpha 103.50
_cell_angle_beta 102.91
_cell_angle_gamma 90.00
_space_group_name_H-M_alt 'P 1'
_space_group_IT_number 1
_space_group_name_Hall 'P 1'
loop_
_atom_site_label
_atom_site_fract_x
_atom_site_fract_y
_atom_site_fract_z
Cs1 0.500 0.500 0.000
Cs2 0.838 0.164 0.675
Cs3 0.162 0.836 0.325
Na1 0.828 0.657 0.655
Na2 0.172 0.343 0.345
In1 0.500 0.000 0.000
Br1 0.336 0.881 0.671
Br2 0.678 0.562 0.355
Br3 0.664 0.119 0.329
Br4 0.018 0.243 0.035
Br5 0.982 0.757 0.965
Br6 0.322 0.438 0.645
```

Raw formation energy ... -1481 meV per atom
Space group ... C2/m

(4)
Material: NdMg5Rh6
Method: DFT, GGA-PBE
State: relaxed

```
data_NdMg5Rh6
_cell_length_a 4.501
_cell_length_b 6.452
_cell_length_c 7.111
_cell_angle_alpha 90.00
_cell_angle_beta 108.38
_cell_angle_gamma 90.00
_space_group_name_H-M_alt 'P 1'
_space_group_IT_number 1
_space_group_name_Hall 'P 1'
loop_
_atom_site_label
_atom_site_fract_x
_atom_site_fract_y
_atom_site_fract_z
Rh1 0.830 0.741 0.658
Rh2 0.830 0.259 0.658
Rh3 0.500 0.266 0.000
Rh4 0.500 0.734 0.000
Rh5 0.170 0.741 0.342
Rh6 0.170 0.259 0.342
Mg1 0.666 0.500 0.333
Mg2 0.329 0.000 0.656
Mg3 0.000 0.500 0.000
Mg4 0.671 0.000 0.344
Mg5 0.334 0.500 0.667
Nd1 0.000 0.000 0.000
```

Formation energy ... -0.505 eV/atom
Space group ... P2/m

| no. | total magnetization (μB per cell) | energy (eV for the cell shown) |
| --- | --- | --- |
| 1 | 0.7 | -17.77 |
| 2 | 0.0 | -76.59 |
| 3 | 0.0 | -35.74 |
| 4 | 0.0 | -62.91 |